(1)
DFT (PBE-GGA) results for crystalline Ca2Hg3Pb2 at its relaxed geometry.

Lattice parameters (Å, degrees): 4.8537 4.9647 9.1791 105.56 105.21 90.24
Last column: nearest neighbours and their distance in Å.
Positions (direct):
Ca  0.1256  0.1239  0.2487  6 Hg 3.20-3.31, 4 Pb 3.46-3.48
Ca  0.8744  0.8761  0.7513  6 Hg 3.20-3.31, 4 Pb 3.46-3.48
Hg  0.0000  0.5000  0.0000  4 Pb 3.18-3.19, 4 Ca 3.26
Hg  0.2520  0.7521  0.5060  4 Ca 3.20-3.31, 4 Pb 3.27-3.31, 4 Hg 3.45-3.48
Hg  0.7480  0.2479  0.4940  4 Ca 3.20-3.31, 4 Pb 3.27-3.31, 4 Hg 3.45-3.48
Pb  0.3780  0.3783  0.7574  6 Hg 3.18-3.31, 4 Ca 3.46-3.48
Pb  0.6220  0.6217  0.2426  6 Hg 3.18-3.31, 4 Ca 3.46-3.48

Values from the calculation:
formation energy	-2.17	eV/f.u.
Fermi-level density of states	0.491	states/eV per atom
size of the total moment	0.00	Bohr magnetons per cell

(2)
DFT (PBE-GGA) results for crystalline Ca2HgPb2 at its relaxed geometry.

Lattice parameters (Å, degrees): 9.2366 9.2366 9.2366 152.52 152.52 39.25
Last column: nearest neighbours and their distance in Å.
Positions (direct):
Ca  0.1006  0.1006  0.0000  4 Pb 3.40, 1 Ca 3.50, 4 Hg 3.56
Ca  0.8994  0.8994  0.0000  4 Pb 3.40, 1 Ca 3.50, 4 Hg 3.56
Hg  0.5000  0.5000  0.0000  8 Ca 3.56
Pb  0.2500  0.7500  0.5000  4 Pb 3.10, 4 Ca 3.40
Pb  0.7500  0.2500  0.5000  4 Pb 3.10, 4 Ca 3.40

Values from the calculation:
formation energy	-1.01	eV/f.u.
Fermi-level density of states	0.670	states/eV per atom
size of the total moment	0.00	Bohr magnetons per cell

(3)
DFT (PBE-GGA) results for crystalline Ca2HgPb2 at its relaxed geometry.

Lattice parameters (Å, degrees): 6.3855 6.3855 11.6463 113.30 113.30 45.12
Last column: nearest neighbours and their distance in Å.
Positions (direct):
Ca  0.0127  0.0127  0.3227  1 Hg 3.18, 4 Pb 3.33-3.42
Ca  0.1766  0.1766  0.0988  2 Hg 3.24, 5 Pb 3.29-3.58
Ca  0.8234  0.8234  0.9012  2 Hg 3.24, 5 Pb 3.29-3.58
Ca  0.9873  0.9873  0.6773  1 Hg 3.18, 4 Pb 3.33-3.42
Hg  0.2666  0.2666  0.7024  3 Pb 3.01-3.02, 3 Ca 3.18-3.24
Hg  0.7333  0.7333  0.2976  3 Pb 3.01-3.02, 3 Ca 3.18-3.24
Pb  0.3508  0.3508  0.4562  2 Hg 3.02, 1 Pb 3.22
Pb  0.4612  0.4612  0.1119  1 Hg 3.01, 1 Pb 3.11, 5 Ca 3.29-3.35
Pb  0.5388  0.5388  0.8881  1 Hg 3.01, 1 Pb 3.11, 5 Ca 3.29-3.35
Pb  0.6492  0.6492  0.5438  2 Hg 3.02, 1 Pb 3.22

Values from the calculation:
formation energy	-2.16	eV/f.u.
Fermi-level density of states	0.447	states/eV per atom
size of the total moment	0.00	Bohr magnetons per cell

(4)
DFT (PBE-GGA) results for crystalline CaHg2Pb at its relaxed geometry.

Lattice parameters (Å, degrees): 4.7859 4.7859 4.6873 90.00 90.00 90.00
Last column: nearest neighbours and their distance in Å.
Positions (direct):
Ca  0.0000  0.0000  0.0000  8 Hg 3.35, 4 Pb 3.38
Hg  0.0000  0.5000  0.5000  4 Pb 3.35, 4 Ca 3.35, 4 Hg 3.38
Hg  0.5000  0.0000  0.5000  4 Pb 3.35, 4 Ca 3.35, 4 Hg 3.38
Pb  0.5000  0.5000  0.0000  8 Hg 3.35, 4 Ca 3.38

Values from the calculation:
formation energy	-1.31	eV/f.u.
Fermi-level density of states	0.527	states/eV per atom
size of the total moment	0.00	Bohr magnetons per cell